# Cs2ScS | Alexandria | PBE | optimized geometry
# Total moment: 1.65 μB/cell
# Raw formation energy: -446 meV/atom
# SG: I-42d, No. 122
# DOS(E_F): 8.508 states/eV per cell
# V: 479 Å³ per cell
data_Cs2ScS
_space_group_name_H-M_alt 'P 1'
_space_group_IT_number 1
_cell_length_a 10.175
_cell_length_b 10.175
_cell_length_c 10.175
_cell_angle_alpha 93.34
_cell_angle_beta 93.34
_cell_angle_gamma 152.07
loop_
_space_group_symop_operation_xyz
'x,y,z'
loop_
_atom_site_label
_atom_site_fract_x
_atom_site_fract_y
_atom_site_fract_z
_atom_site_occupancy
Cs1 0.375 0.051 0.176 1
Cs2 0.801 0.625 0.676 1
Cs3 0.875 0.199 0.824 1
Cs4 0.949 0.125 0.324 1
Sc1 0.250 0.750 0.500 1
Sc2 0.500 0.500 0.000 1
S1 0.000 0.000 0.000 1
S2 0.750 0.250 0.500 1